First-principles (PBE) data for Sn3HRh after structural relaxation, as listed in Alexandria via LeMat-Bulk.

a b c (Å): 5.1097 5.1097 5.1097
angles (deg): 90.00 90.00 90.00
Last column: nearest neighbours and their distance in Å.
Fractional positions:
Sn (0.0000, 0.0000, 0.5000)  2 Rh 2.55
Sn (0.0000, 0.5000, 0.0000)  2 Rh 2.55
Sn (0.5000, 0.0000, 0.0000)  2 Rh 2.55
H (0.5000, 0.5000, 0.5000)  12 Sn 3.61
Rh (0.0000, 0.0000, 0.0000)  6 Sn 2.55

## Properties
The energy is -20.64 eV for the cell shown. The excess energy over the best structure of this formula in the dataset comes out at 92 meV/atom.